# 1
A plane-wave DFT calculation with PBE was carried out for an optimized crystal structure of LaZr2Pb.

## Properties
Its crystal system is monoclinic. The formation energy comes out at 0.027 eV/atom. The density of states at the Fermi level comes out at 1.297 states/eV/atom. Its space-group type is P2/m (10).

a b c (Å): 5.4109 3.4215 5.8480
angles (deg): 84.74 90.00 90.00
Closest atoms and distances in Å follow each position.
Atoms (fractional coordinates):
La 0.5000 0.2500 0.2500  4 Pb 3.25-3.52, 4 Zr 3.33, 2 La 3.42
Pb 0.5000 0.7500 0.7500  4 Zr 3.14, 2 La 3.25, 2 Pb 3.42
Zr 0.0000 0.9306 0.9907  2 Pb 3.14, 5 Zr 3.17-3.42, 2 La 3.33
Zr 0.0000 0.5694 0.5093  2 Pb 3.14, 5 Zr 3.17-3.42, 2 La 3.33

=====

# 2
A plane-wave DFT calculation with PBE was carried out for an optimized crystal structure of La2ZrPb.

## Properties
Its crystal system is tetragonal. The formation energy comes out at -0.172 eV/atom. The density of states at the Fermi level comes out at 1.121 states/eV/atom. Its space-group type is I-4m2 (119).

a b c (Å): 6.0474 6.0474 6.0474
angles (deg): 132.87 132.87 68.86
Closest atoms and distances in Å follow each position.
Atoms (fractional coordinates):
La 0.0000 0.0000 0.0000  4 Pb 3.42, 4 La 3.47, 4 Zr 3.47
La 0.2500 0.7500 0.5000  4 Zr 3.42, 4 La 3.47, 4 Pb 3.47
Pb 0.5000 0.5000 0.0000  8 La 3.42-3.47, 4 Zr 3.47
Zr 0.7500 0.2500 0.5000  8 La 3.42-3.47, 4 Pb 3.47

=====

# 3
A plane-wave DFT calculation with PBE was carried out for an optimized crystal structure of LaZr2Pb.

## Properties
Its crystal system is orthorhombic. The formation energy comes out at -0.080 eV/atom. The density of states at the Fermi level comes out at 1.363 states/eV/atom. Its space-group type is Pmm2 (25).

a b c (Å): 3.3990 4.1224 7.7941
angles (deg): 90.00 90.00 90.00
Closest atoms and distances in Å follow each position.
Atoms (fractional coordinates):
La 0.0000 0.0000 0.5006  2 La 3.40, 4 Pb 3.48, 4 Zr 3.50
Pb 0.5000 0.5000 0.7866  5 Zr 3.15-3.31, 2 Pb 3.40, 4 La 3.48
Zr 0.0000 0.0000 0.0017  6 Zr 3.13-3.40, 4 Pb 3.15
Zr 0.5000 0.5000 0.2112  6 Zr 3.13-3.40, 1 Pb 3.31, 4 La 3.50

=====

# 4
A plane-wave DFT calculation with PBE was carried out for an optimized crystal structure of La2ZrPb.

## Properties
Its crystal system is trigonal. The formation energy comes out at -0.022 eV/atom. The density of states at the Fermi level comes out at 1.148 states/eV/atom. Its space-group type is R3m (160).

a b c (Å): 11.0070 11.0070 11.0070
angles (deg): 18.65 18.65 18.65
Closest atoms and distances in Å follow each position.
Atoms (fractional coordinates):
La 0.0056 0.0056 0.0056  3 Zr 3.34, 9 La 3.57-3.63
La 0.2467 0.2467 0.2467  3 Pb 3.46, 9 La 3.57-3.63
Pb 0.4945 0.4945 0.4945  3 Zr 3.18, 3 La 3.46
Zr 0.7532 0.7532 0.7532  3 Pb 3.18, 3 La 3.34

=====

# 5
A plane-wave DFT calculation with PBE was carried out for an optimized crystal structure of La2ZrPb.

## Properties
Its crystal system is trigonal. The formation energy comes out at -0.006 eV/atom. The density of states at the Fermi level comes out at 1.487 states/eV/atom. Its space-group type is R-3m (166).

a b c (Å): 11.4796 11.4796 11.4796
angles (deg): 17.86 17.86 17.86
Closest atoms and distances in Å follow each position.
Atoms (fractional coordinates):
La 0.0021 0.0021 0.0021  3 Zr 3.44, 3 Pb 3.55, 6 La 3.56
La 0.4979 0.4979 0.4979  3 Zr 3.44, 3 Pb 3.55, 6 La 3.56
Pb 0.2500 0.2500 0.2500  6 La 3.55, 6 Pb 3.56
Zr 0.7500 0.7500 0.7500  6 La 3.44, 6 Zr 3.56

=====

# 6
A plane-wave DFT calculation with PBE was carried out for an optimized crystal structure of LaZr2Pb.

## Properties
Its crystal system is orthorhombic. The formation energy comes out at -0.074 eV/atom. The density of states at the Fermi level comes out at 0.792 states/eV/atom. Its space-group type is Cmm2 (35).

a b c (Å): 3.3542 3.3542 9.6651
angles (deg): 90.00 90.00 90.28
Closest atoms and distances in Å follow each position.
Atoms (fractional coordinates):
La 0.0000 0.0000 0.4970  4 La 3.35, 4 Zr 3.55, 4 Pb 3.55-3.56
Pb 0.5000 0.5000 0.7705  4 Zr 3.30-3.31, 4 Pb 3.35, 4 La 3.55-3.56
Zr 0.0000 0.0000 0.0089  8 Zr 3.15-3.35, 4 Pb 3.30-3.31
Zr 0.5000 0.5000 0.2237  8 Zr 3.15-3.35

=====

# 7
A plane-wave DFT calculation with PBE was carried out for an optimized crystal structure of La2ZrPb.

## Properties
Its crystal system is monoclinic. The formation energy comes out at -0.008 eV/atom. The density of states at the Fermi level comes out at 1.435 states/eV/atom. Its space-group type is C2/m (12).

a b c (Å): 6.1731 6.1731 5.8392
angles (deg): 81.03 81.03 32.29
Closest atoms and distances in Å follow each position.
Atoms (fractional coordinates):
La 0.0064 0.0064 0.9855  6 La 3.27-3.52, 3 Pb 3.45-3.53, 3 Zr 3.49-3.61
La 0.4936 0.4936 0.5145  6 La 3.27-3.52, 3 Pb 3.45-3.53, 3 Zr 3.49-3.61
Pb 0.7500 0.7500 0.7500  4 Zr 3.39, 2 Pb 3.43, 6 La 3.45-3.53
Zr 0.2500 0.2500 0.2500  4 Pb 3.39, 2 Zr 3.43, 6 La 3.49-3.61

=====

# 8
A plane-wave DFT calculation with PBE was carried out for an optimized crystal structure of LaZrPb4.

## Properties
Its crystal system is cubic. The formation energy comes out at 0.108 eV/atom. The density of states at the Fermi level comes out at 0.911 states/eV/atom. Its space-group type is F-43m (216).

a b c (Å): 6.3986 6.3986 6.3986
angles (deg): 60.00 60.00 60.00
Closest atoms and distances in Å follow each position.
Atoms (fractional coordinates):
La 0.0000 0.0000 0.0000  12 Pb 3.75, 4 Zr 3.92
Zr 0.7500 0.7500 0.7500  12 Pb 3.75, 4 La 3.92
Pb 0.8734 0.3755 0.3755  6 Pb 3.19-3.21
Pb 0.3755 0.3755 0.8734  6 Pb 3.19-3.21
Pb 0.3755 0.8734 0.3755  6 Pb 3.19-3.21
Pb 0.3755 0.3755 0.3755  6 Pb 3.19-3.21

=====

# 9
A plane-wave DFT calculation with PBE was carried out for an optimized crystal structure of La2ZrPb.

## Properties
Its crystal system is cubic. The formation energy comes out at -0.046 eV/atom. The density of states at the Fermi level comes out at 1.178 states/eV/atom. Its space-group type is F-43m (216).

a b c (Å): 5.4560 5.4560 5.4560
angles (deg): 60.00 60.00 60.00
Closest atoms and distances in Å follow each position.
Atoms (fractional coordinates):
La 0.0000 0.0000 0.0000  4 Zr 3.34, 4 La 3.34
La 0.2500 0.2500 0.2500  4 La 3.34, 4 Pb 3.34
Pb 0.5000 0.5000 0.5000  4 La 3.34, 4 Zr 3.34
Zr 0.7500 0.7500 0.7500  4 La 3.34, 4 Pb 3.34

=====

# 10
A plane-wave DFT calculation with PBE was carried out for an optimized crystal structure of LaZr2Pb.

## Properties
Its crystal system is tetragonal. The formation energy comes out at 0.107 eV/atom. The density of states at the Fermi level comes out at 1.112 states/eV/atom. Its space-group type is P4/mmm (123).

a b c (Å): 3.2368 3.2368 10.0094
angles (deg): 90.00 90.00 90.00
Closest atoms and distances in Å follow each position.
Atoms (fractional coordinates):
La 0.5000 0.5000 0.2500  4 La 3.24, 8 Zr 3.52
Pb 0.5000 0.5000 0.7500  4 Pb 3.24, 8 Zr 3.26
Zr 0.0000 0.0000 0.9823  4 Zr 3.24, 4 Pb 3.26, 4 La 3.52
Zr 0.0000 0.0000 0.5177  4 Zr 3.24, 4 Pb 3.26, 4 La 3.52

=====

# 11
A plane-wave DFT calculation with PBE was carried out for an optimized crystal structure of La2ZrPb.

## Properties
Its crystal system is monoclinic. The formation energy comes out at -0.141 eV/atom. The density of states at the Fermi level comes out at 1.310 states/eV/atom. Its space-group type is Cm (8).

a b c (Å): 6.0482 6.0482 5.9461
angles (deg): 79.27 79.27 33.65
Closest atoms and distances in Å follow each position.
Atoms (fractional coordinates):
La 0.9878 0.9878 0.0044  3 La 3.26-3.50, 4 Pb 3.42-3.50, 3 Zr 3.49-3.52
La 0.7652 0.7652 0.7426  3 La 3.26-3.50, 4 Zr 3.41-3.52, 3 Pb 3.43-3.56
Pb 0.5111 0.5111 0.4878  2 Zr 3.20, 7 La 3.42-3.56, 2 Pb 3.50
Zr 0.2360 0.2360 0.2652  2 Pb 3.20, 7 La 3.41-3.52, 2 Zr 3.50

=====

# 12
A plane-wave DFT calculation with PBE was carried out for an optimized crystal structure of La2ZrPb.

## Properties
Its crystal system is tetragonal. The formation energy comes out at -0.190 eV/atom. The density of states at the Fermi level comes out at 1.051 states/eV/atom. Its space-group type is P4/mmm (123).

a b c (Å): 4.8479 4.8503 4.9441
angles (deg): 90.00 90.00 90.00
Closest atoms and distances in Å follow each position.
Atoms (fractional coordinates):
La 0.0000 0.0000 0.0000  4 La 3.43, 4 Pb 3.46, 4 Zr 3.46
La 0.5000 0.5000 0.0000  4 La 3.43, 4 Zr 3.46, 4 Pb 3.46
Pb 0.5000 0.0000 0.5000  4 Zr 3.43, 8 La 3.46
Zr 0.0000 0.5000 0.5000  4 Pb 3.43, 8 La 3.46

=====

# 13
A plane-wave DFT calculation with PBE was carried out for an optimized crystal structure of LaZr2Pb.

## Properties
Its crystal system is monoclinic. The formation energy comes out at -0.009 eV/atom. The density of states at the Fermi level comes out at 0.952 states/eV/atom. Its space-group type is Cm (8).

a b c (Å): 6.0759 6.0759 5.5601
angles (deg): 71.38 71.38 32.76
Closest atoms and distances in Å follow each position.
Atoms (fractional coordinates):
La 0.4968 0.4968 0.5352  7 Zr 3.24-3.38, 2 La 3.43, 2 Pb 3.50
Pb 0.2632 0.2632 0.1968  7 Zr 3.19-3.39, 2 Pb 3.43, 2 La 3.50
Zr 0.0078 0.0078 0.0344  4 Zr 3.11-3.43, 3 Pb 3.19-3.39, 4 La 3.24-3.30
Zr 0.7322 0.7322 0.7337  4 Zr 3.11-3.43, 4 Pb 3.21-3.36, 3 La 3.28-3.38

=====

# 14
A plane-wave DFT calculation with PBE was carried out for an optimized crystal structure of LaZr2Pb.

## Properties
Its crystal system is tetragonal. The formation energy comes out at -0.052 eV/atom. The density of states at the Fermi level comes out at 0.961 states/eV/atom. Its space-group type is I-4m2 (119).

a b c (Å): 5.8505 5.8505 5.8505
angles (deg): 133.42 133.38 68.03
Closest atoms and distances in Å follow each position.
Atoms (fractional coordinates):
La 0.5000 0.5000 0.0000  8 Zr 3.27-3.35, 4 Pb 3.35
Pb 0.2499 0.7499 0.5000  8 Zr 3.27-3.35, 4 La 3.35
Zr 0.0001 0.0001 0.0000  4 La 3.27, 4 Pb 3.35, 4 Zr 3.35
Zr 0.7499 0.2499 0.5000  4 Pb 3.27, 4 La 3.35, 4 Zr 3.35

=====

# 15
A plane-wave DFT calculation with PBE was carried out for an optimized crystal structure of La2ZrPb.

## Properties
Its crystal system is orthorhombic. The formation energy comes out at -0.124 eV/atom. The density of states at the Fermi level comes out at 1.160 states/eV/atom. Its space-group type is Pmm2 (25).

a b c (Å): 3.7134 4.1052 7.7599
angles (deg): 90.00 90.00 90.00
Closest atoms and distances in Å follow each position.
Atoms (fractional coordinates):
La 0.0000 0.0000 0.9778  4 Zr 3.43, 1 Pb 3.47, 6 La 3.60-3.71
La 0.5000 0.5000 0.2741  4 Pb 3.41, 1 Zr 3.44, 6 La 3.60-3.71
Pb 0.0000 0.0000 0.5312  4 Zr 3.12, 5 La 3.41-3.47
Zr 0.5000 0.5000 0.7170  4 Pb 3.12, 5 La 3.43-3.44

=====

# 16
A plane-wave DFT calculation with PBE was carried out for an optimized crystal structure of LaZr2Pb.

## Properties
Its crystal system is tetragonal. The formation energy comes out at -0.025 eV/atom. The density of states at the Fermi level comes out at 0.845 states/eV/atom. Its space-group type is P4/mmm (123).

a b c (Å): 3.8056 3.8056 7.1925
angles (deg): 90.00 90.00 90.00
Closest atoms and distances in Å follow each position.
Atoms (fractional coordinates):
La 0.5000 0.5000 0.2500  8 Zr 3.39, 2 Pb 3.60
Pb 0.5000 0.5000 0.7500  8 Zr 3.10
Zr 0.0000 0.0000 0.9629  1 Zr 3.06, 4 Pb 3.10, 4 La 3.39
Zr 0.0000 0.0000 0.5371  1 Zr 3.06, 4 Pb 3.10, 4 La 3.39

=====

# 17
A plane-wave DFT calculation with PBE was carried out for an optimized crystal structure of LaZr2Pb.

## Properties
Its crystal system is tetragonal. The formation energy comes out at 0.363 eV/atom. The density of states at the Fermi level comes out at 1.391 states/eV/atom. Its space-group type is I-42d (122).

a b c (Å): 8.5106 8.5106 6.8042
angles (deg): 51.29 51.29 90.00
Closest atoms and distances in Å follow each position.
Atoms (fractional coordinates):
Pb 0.0000 0.0000 0.0000  4 Zr 2.96, 2 La 3.18
Pb 0.7500 0.2500 0.5000  4 Zr 2.96, 2 La 3.18
Zr 0.6512 0.1250 0.2500  2 Pb 2.96, 2 Zr 3.21, 2 La 3.27
Zr 0.0988 0.6250 0.2500  2 Pb 2.96, 2 Zr 3.21, 2 La 3.27
Zr 0.3750 0.3488 0.7500  2 Pb 2.96, 2 Zr 3.21, 2 La 3.27
Zr 0.8750 0.9012 0.7500  2 Pb 2.96, 2 Zr 3.21, 2 La 3.27
La 0.5000 0.5000 0.0000  2 Pb 3.18, 4 Zr 3.27
La 0.2500 0.7500 0.5000  2 Pb 3.18, 4 Zr 3.27

=====

# 18
A plane-wave DFT calculation with PBE was carried out for an optimized crystal structure of La2Zr2Pb.

## Properties
Its crystal system is tetragonal. The formation energy comes out at -0.056 eV/atom. The density of states at the Fermi level comes out at 1.100 states/eV/atom. Its space-group type is P4/mbm (127).

a b c (Å): 7.8367 7.8367 4.7450
angles (deg): 90.00 90.00 90.00
Closest atoms and distances in Å follow each position.
Atoms (fractional coordinates):
Pb 0.0000 0.0000 0.0000  4 Zr 3.05
Pb 0.5000 0.5000 0.0000  4 Zr 3.05
Zr 0.3642 0.8642 0.0000  1 Zr 3.01, 2 Pb 3.05, 2 La 3.19
Zr 0.8642 0.6358 0.0000  1 Zr 3.01, 2 Pb 3.05, 2 La 3.19
Zr 0.6358 0.1358 0.0000  1 Zr 3.01, 2 Pb 3.05, 2 La 3.19
Zr 0.1358 0.3642 0.0000  1 Zr 3.01, 2 Pb 3.05, 2 La 3.19
La 0.1722 0.6722 0.5000  6 Zr 3.19-3.40
La 0.6722 0.8278 0.5000  6 Zr 3.19-3.40
La 0.8278 0.3278 0.5000  6 Zr 3.19-3.40
La 0.3278 0.1722 0.5000  6 Zr 3.19-3.40

=====

# 19
A plane-wave DFT calculation with PBE was carried out for an optimized crystal structure of La4Pd.

## Properties
Its crystal system is tetragonal. The formation energy comes out at -0.282 eV/atom. The density of states at the Fermi level comes out at 1.631 states/eV/atom. The excess energy over the best structure of this formula in the dataset is 0.0000 eV per atom. Its space-group type is I4/m (87).

a b c (Å): 3.7813 6.7966 6.7966
angles (deg): 85.56 73.85 73.85
Closest atoms and distances in Å follow each position.
Atoms (fractional coordinates):
La 0.5773 0.1869 0.6586  2 Pd 3.17
La 0.7642 0.6586 0.8131  2 Pd 3.17
La 0.4227 0.8131 0.3414  2 Pd 3.17
La 0.2358 0.3414 0.1869  2 Pd 3.17
Pd 0.0000 0.0000 0.0000  8 La 3.17

=====

# 20
A plane-wave DFT calculation with PBE was carried out for an optimized crystal structure of LaPd.

## Properties
Its crystal system is cubic. The formation energy comes out at -0.201 eV/atom. The density of states at the Fermi level comes out at 1.476 states/eV/atom. Its space-group type is F-43m (216).

a b c (Å): 6.6051 6.6051 6.6051
angles (deg): 90.00 90.00 90.00
Closest atoms and distances in Å follow each position.
Atoms (fractional coordinates):
La 0.0000 0.0000 0.0000  4 Pd 2.86
La 0.0000 0.5000 0.5000  4 Pd 2.86
La 0.5000 0.0000 0.5000  4 Pd 2.86
La 0.5000 0.5000 0.0000  4 Pd 2.86
Pd 0.2500 0.2500 0.2500  4 La 2.86
Pd 0.2500 0.7500 0.7500  4 La 2.86
Pd 0.7500 0.2500 0.7500  4 La 2.86
Pd 0.7500 0.7500 0.2500  4 La 2.86